Entry 1:
An optimized crystal structure of ZnCd11Hg17. Source: the Alexandria database, functional GGA-PBE.

Unit cell a=10.2790 b=10.2790 c=9.2232 alpha=115.66 beta=115.66 gamma=97.22
With the nearest neighbours (Å) after each atom.
Fractional coordinates of all 29 atoms:
Zn1 0.4274 0.4274 0.0715  6 Hg 2.84-2.94, 1 Cd 2.89
Cd1 0.1560 0.1560 0.7282  1 Zn 2.89, 5 Hg 3.08-3.20, 2 Cd 3.10
Cd2 0.7018 0.9000 0.1205  5 Hg 2.98-3.13, 2 Cd 3.06-3.18
Cd3 0.2488 0.4747 0.5165  7 Hg 3.02-3.15
Cd4 0.8432 0.0424 0.6922  6 Hg 2.99-3.18, 3 Cd 3.07-3.16
Cd5 0.5584 0.9053 0.7049  6 Hg 2.99-3.18, 2 Cd 3.08-3.16
Cd6 0.8213 0.1904 0.1033  6 Hg 2.99-3.22, 2 Cd 3.08-3.18
Cd7 0.1904 0.8213 0.1033  6 Hg 2.99-3.22, 2 Cd 3.08-3.18
Cd8 0.9053 0.5584 0.7049  6 Hg 2.99-3.18, 2 Cd 3.08-3.16
Cd9 0.0424 0.8432 0.6922  6 Hg 2.99-3.18, 3 Cd 3.07-3.16
Cd10 0.4747 0.2488 0.5165  7 Hg 3.02-3.15
Cd11 0.9000 0.7018 0.1205  5 Hg 2.98-3.13, 2 Cd 3.06-3.18
Hg1 0.1281 0.1281 0.3662  5 Cd 3.05-3.39, 3 Hg 3.13-3.28
Hg2 0.7056 0.7056 0.3411  1 Zn 2.86, 2 Cd 3.09, 1 Hg 3.19
Hg3 0.5813 0.5813 0.5826  4 Cd 3.10-3.15, 4 Hg 3.15-3.20
Hg4 0.5412 0.5412 0.8885  1 Zn 2.94, 4 Cd 3.08-3.13, 4 Hg 3.19-3.25
Hg5 0.8883 0.8883 0.9250  8 Cd 3.10-3.18, 2 Hg 3.13-3.18
Hg6 0.2050 0.5083 0.8430  1 Zn 2.86, 4 Cd 2.99-3.20
Hg7 0.3369 0.6413 0.2898  1 Zn 2.84, 2 Cd 3.02-3.14, 3 Hg 3.04-3.15
Hg8 0.8789 0.2139 0.4875  5 Cd 2.99-3.22, 3 Hg 3.13-3.28
Hg9 0.1111 0.3105 0.0908  4 Cd 3.02-3.29, 3 Hg 3.04-3.17
Hg10 0.3641 0.8159 0.8523  4 Cd 2.98-3.11, 2 Hg 3.17-3.32
Hg11 0.5401 0.9600 0.3476  4 Cd 2.99-3.11, 2 Hg 3.29-3.34
Hg12 0.9600 0.5401 0.3476  4 Cd 2.99-3.11, 2 Hg 3.29-3.34
Hg13 0.8159 0.3641 0.8523  4 Cd 2.98-3.11, 2 Hg 3.17-3.32
Hg14 0.3105 0.1111 0.0908  4 Cd 3.02-3.29, 3 Hg 3.04-3.17
Hg15 0.2139 0.8789 0.4875  5 Cd 2.99-3.22, 3 Hg 3.13-3.28
Hg16 0.6413 0.3369 0.2898  1 Zn 2.84, 2 Cd 3.02-3.14, 3 Hg 3.04-3.15
Hg17 0.5083 0.2050 0.8430  1 Zn 2.86, 4 Cd 2.99-3.20

***

Entry 2:
An optimized crystal structure of ZnCdHg2. Source: the Alexandria database, functional GGA-PBE.

Unit cell a=5.4741 b=5.4741 c=5.4741 alpha=132.07 beta=132.07 gamma=70.12
With the nearest neighbours (Å) after each atom.
Fractional coordinates of all 4 atoms:
Cd1 0.7500 0.2500 0.5000  8 Hg 3.14-3.16, 4 Zn 3.16
Hg1 0.0000 0.0000 0.0000  4 Zn 3.14, 4 Hg 3.16, 4 Cd 3.16
Hg2 0.2500 0.7500 0.5000  4 Cd 3.14, 4 Hg 3.16, 4 Zn 3.16
Zn1 0.5000 0.5000 0.0000  8 Hg 3.14-3.16, 4 Cd 3.16

Properties
energy above the lowest structure with this stoichiometry = 0.0421 eV per atom

***

Entry 3:
An optimized crystal structure of Zn2CdHg. Source: the Alexandria database, functional GGA-PBE.

Unit cell a=8.7642 b=8.7642 c=8.7642 alpha=21.77 beta=21.77 gamma=21.77
With the nearest neighbours (Å) after each atom.
Fractional coordinates of all 4 atoms:
Cd1 0.2500 0.2500 0.2500  6 Zn 2.87
Hg1 0.7500 0.7500 0.7500  6 Zn 2.86
Zn1 0.0003 0.0003 0.0003  3 Hg 2.86, 3 Cd 2.87
Zn2 0.4997 0.4997 0.4997  3 Hg 2.86, 3 Cd 2.87

Properties
energy above the lowest structure with this stoichiometry = 0.0365 eV per atom

***

Entry 4:
An optimized crystal structure of Zn2Cd12Hg5. Source: the Alexandria database, functional GGA-PBE.

Unit cell a=7.3739 b=8.0009 c=8.0009 alpha=68.33 beta=92.98 gamma=92.99
With the nearest neighbours (Å) after each atom.
Fractional coordinates of all 19 atoms:
Zn1 0.0000 0.2778 0.7222  8 Cd 2.91-3.07, 2 Hg 3.04
Zn2 0.0000 0.7222 0.2778  8 Cd 2.91-3.07, 2 Hg 3.04
Cd1 0.9179 0.8905 0.8905  2 Zn 2.93, 5 Cd 3.07-3.13, 2 Hg 3.13
Cd2 0.2319 0.6339 0.0416  1 Zn 2.91, 4 Cd 3.07-3.19, 1 Hg 3.07
Cd3 0.2319 0.0416 0.6339  1 Zn 2.91, 4 Cd 3.07-3.19, 1 Hg 3.07
Cd4 0.6456 0.6202 0.1560  1 Zn 2.92, 4 Cd 2.96-3.19, 4 Hg 3.04-3.15
Cd5 0.6456 0.1560 0.6202  1 Zn 2.92, 4 Cd 2.96-3.19, 4 Hg 3.04-3.15
Cd6 0.2995 0.4546 0.4546  5 Cd 2.96-3.12, 2 Hg 3.01-3.04, 2 Zn 3.07
Cd7 0.7005 0.5454 0.5454  5 Cd 2.96-3.12, 2 Hg 3.01-3.04, 2 Zn 3.07
Cd8 0.3544 0.3798 0.8440  1 Zn 2.92, 4 Cd 2.96-3.19, 4 Hg 3.04-3.15
Cd9 0.3544 0.8440 0.3798  1 Zn 2.92, 4 Cd 2.96-3.19, 4 Hg 3.04-3.15
Cd10 0.7681 0.3661 0.9584  1 Zn 2.91, 4 Cd 3.07-3.19, 1 Hg 3.07
Cd11 0.7681 0.9584 0.3661  1 Zn 2.91, 4 Cd 3.07-3.19, 1 Hg 3.07
Cd12 0.0821 0.1095 0.1095  2 Zn 2.93, 5 Cd 3.07-3.13, 2 Hg 3.13
Hg1 0.4439 0.2467 0.2468  10 Cd 3.01-3.35, 1 Hg 3.32
Hg2 0.9411 0.3279 0.3279  6 Cd 3.04-3.15, 2 Zn 3.04
Hg3 0.5000 0.0000 0.0000  8 Cd 3.06-3.37, 2 Hg 3.32
Hg4 0.0589 0.6721 0.6721  6 Cd 3.04-3.15, 2 Zn 3.04
Hg5 0.5561 0.7533 0.7532  10 Cd 3.01-3.35, 1 Hg 3.32

***

Entry 5:
An optimized crystal structure of ZnCd2Hg. Source: the Alexandria database, functional GGA-PBE.

Unit cell a=4.9657 b=4.9657 c=3.7186 alpha=90.00 beta=90.00 gamma=108.96
With the nearest neighbours (Å) after each atom.
Fractional coordinates of all 4 atoms:
Zn1 0.0000 0.5000 0.5000  2 Hg 2.88, 8 Cd 3.10
Hg1 0.5000 0.0000 0.5000  2 Zn 2.88, 8 Cd 3.10
Cd1 0.0000 0.0000 0.0000  2 Cd 2.88, 4 Hg 3.10, 4 Zn 3.10
Cd2 0.5000 0.5000 0.0000  2 Cd 2.88, 4 Zn 3.10, 4 Hg 3.10

Properties
energy above the lowest structure with this stoichiometry = 0.0078 eV per atom

***

Entry 6:
An optimized crystal structure of Zn2CdHg. Source: the Alexandria database, functional GGA-PBE.

Unit cell a=5.2619 b=5.2619 c=5.2619 alpha=132.28 beta=132.28 gamma=69.78
With the nearest neighbours (Å) after each atom.
Fractional coordinates of all 4 atoms:
Cd1 0.5000 0.5000 0.0000  8 Zn 3.01-3.03, 4 Hg 3.03
Hg1 0.7500 0.2500 0.5000  8 Zn 3.01-3.03, 4 Cd 3.03
Zn1 0.0000 0.0000 0.0000  4 Cd 3.01, 4 Hg 3.03, 4 Zn 3.03
Zn2 0.2500 0.7500 0.5000  4 Hg 3.01, 4 Zn 3.03, 4 Cd 3.03

Properties
energy above the lowest structure with this stoichiometry = 0.0376 eV per atom

***

Entry 7:
An optimized crystal structure of Zn2CdHg. Source: the Alexandria database, functional GGA-PBE.

Unit cell a=4.1512 b=4.3379 c=4.3379 alpha=90.00 beta=90.00 gamma=90.00
With the nearest neighbours (Å) after each atom.
Fractional coordinates of all 4 atoms:
Cd1 0.5000 0.5000 0.0000  8 Zn 3.00, 4 Hg 3.07
Hg1 0.5000 0.0000 0.5000  8 Zn 3.00, 4 Cd 3.07
Zn1 0.0000 0.0000 0.0000  4 Hg 3.00, 4 Cd 3.00, 4 Zn 3.07
Zn2 0.0000 0.5000 0.5000  4 Hg 3.00, 4 Cd 3.00, 4 Zn 3.07

Properties
energy above the lowest structure with this stoichiometry = 0.0384 eV per atom

***

Entry 8:
An optimized crystal structure of ZnCdHg2. Source: the Alexandria database, functional GGA-PBE.

Unit cell a=3.8199 b=3.8199 c=7.8977 alpha=76.00 beta=76.00 gamma=60.00
With the nearest neighbours (Å) after each atom.
Fractional coordinates of all 4 atoms:
Zn1 0.6667 0.6667 0.9998  6 Hg 2.80
Cd1 0.4998 0.4998 0.5006  6 Hg 3.02-3.03
Hg1 0.0757 0.0757 0.7730  3 Zn 2.80, 3 Cd 3.02
Hg2 0.2578 0.2578 0.2266  3 Zn 2.80, 3 Cd 3.03

Properties
energy above the lowest structure with this stoichiometry = 0.0222 eV per atom

***

Entry 9:
An optimized crystal structure of ZnCd2Hg. Source: the Alexandria database, functional GGA-PBE.

Unit cell a=5.3729 b=5.3729 c=3.0506 alpha=90.00 beta=90.00 gamma=90.00
With the nearest neighbours (Å) after each atom.
Fractional coordinates of all 4 atoms:
Cd1 0.0000 0.0000 0.0000  2 Cd 3.05, 4 Hg 3.09, 4 Zn 3.09
Cd2 0.5000 0.5000 0.0000  2 Cd 3.05, 4 Hg 3.09, 4 Zn 3.09
Hg1 0.5000 0.0000 0.5000  2 Hg 3.05, 8 Cd 3.09
Zn1 0.0000 0.5000 0.5000  2 Zn 3.05, 8 Cd 3.09

Properties
energy above the lowest structure with this stoichiometry = 0.0391 eV per atom

***

Entry 10:
An optimized crystal structure of ZnCdHg2. Source: the Alexandria database, functional GGA-PBE.

Unit cell a=3.2398 b=3.2398 c=8.5685 alpha=90.00 beta=90.00 gamma=93.83
With the nearest neighbours (Å) after each atom.
Fractional coordinates of all 4 atoms:
Cd1 0.5000 0.5000 0.7229  4 Zn 2.90-3.02, 2 Hg 3.20, 4 Cd 3.24
Hg1 0.0000 0.0000 0.9930  4 Cd 3.20-3.31, 8 Hg 3.24-3.41
Hg2 0.5000 0.5000 0.2800  4 Zn 2.93-3.05, 4 Hg 3.24
Zn1 0.0000 0.0000 0.5040  4 Cd 2.90-3.02, 4 Hg 2.93-3.05, 4 Zn 3.24

Properties
energy above the lowest structure with this stoichiometry = 0.0211 eV per atom

***

Entry 11:
An optimized crystal structure of Zn2Cd2Hg. Source: the Alexandria database, functional GGA-PBE.

Unit cell a=8.4310 b=8.4310 c=2.9586 alpha=90.00 beta=90.00 gamma=90.00
With the nearest neighbours (Å) after each atom.
Fractional coordinates of all 10 atoms:
Zn1 0.1129 0.6129 0.5000  3 Zn 2.69-2.96, 6 Cd 2.84-2.97
Zn2 0.6129 0.8871 0.5000  3 Zn 2.69-2.96, 6 Cd 2.84-2.97
Zn3 0.8871 0.3871 0.5000  3 Zn 2.69-2.96, 6 Cd 2.84-2.97
Zn4 0.3871 0.1129 0.5000  3 Zn 2.69-2.96, 6 Cd 2.84-2.97
Hg1 0.0000 0.0000 0.0000  2 Hg 2.96, 4 Cd 3.08
Hg2 0.5000 0.5000 0.0000  2 Hg 2.96, 4 Cd 3.08
Cd1 0.3162 0.8162 0.0000  6 Zn 2.84-2.97, 2 Cd 2.96, 2 Hg 3.08
Cd2 0.8162 0.6838 0.0000  6 Zn 2.84-2.97, 2 Cd 2.96, 2 Hg 3.08
Cd3 0.6838 0.1838 0.0000  6 Zn 2.84-2.97, 2 Cd 2.96, 2 Hg 3.08
Cd4 0.1838 0.3162 0.0000  6 Zn 2.84-2.97, 2 Cd 2.96, 2 Hg 3.08

Properties
energy above the lowest structure with this stoichiometry = 0.0000 eV per atom

***

Entry 12:
An optimized crystal structure of Zn2CdHg. Source: the Alexandria database, functional GGA-PBE.

Unit cell a=3.5761 b=5.0968 c=4.4568 alpha=90.00 beta=90.00 gamma=90.00
With the nearest neighbours (Å) after each atom.
Fractional coordinates of all 4 atoms:
Cd1 0.5000 0.0000 0.5000  4 Zn 2.86, 4 Hg 3.11
Hg1 0.0000 0.5000 0.5000  4 Zn 2.86, 4 Cd 3.11
Zn1 0.0000 0.0000 0.0000  4 Cd 2.86, 4 Zn 3.11
Zn2 0.5000 0.5000 0.0000  4 Hg 2.86, 4 Zn 3.11

Properties
energy above the lowest structure with this stoichiometry = 0.0666 eV per atom

***

| no. | calculated formation energy (kJ/mol of atoms) | spin magnetization (Bohr magnetons per cell) |
| --- | --- | --- |
| 1 | 3.3 | 0.00 |
| 2 | 10.1 | 0.00 |
| 3 | 10.9 | 0.00 |
| 4 | 4.6 | 0.00 |
| 5 | 5.8 | 0.00 |
| 6 | 11.0 | 0.00 |
| 7 | 11.1 | 0.00 |
| 8 | 8.2 | 0.00 |
| 9 | 8.8 | 0.00 |
| 10 | 8.1 | 0.00 |
| 11 | 7.6 | 0.00 |
| 12 | 13.8 | 0.00 |